Material: FeP2SO
Method: DFT, PBE with a Hubbard U
State: optimized geometry

Unit cell a=4.6606 b=4.6606 c=3.5493 alpha=90.00 beta=90.00 gamma=90.00
Space group P4/mmm (No. 123)
Symmetry-distinct sites (fractional):
Fe 0.0000 0.0000 0.0000
P 0.0000 0.5000 0.0000
S 0.5000 0.5000 0.5000
O 0.0000 0.0000 0.5000

Summary:
Total magnetization   2.90 μB per formula unit
Volume   15.42 Å³/atom
E_tot   -23.09 eV/cell
Fermi-level density of states   3.3 states/eV/cell